Record 1
An optimized crystal structure of AlIr, computed with PBE.

- total magnetization (μB/f.u.) = 0.0
- VASP energy (eV for the cell shown) = -23.67

Cell lengths 3.9388, 3.9388, 6.4078 Å; angles 90.00, 90.00, 120.00 degrees
Atoms (fractional coordinates):
Al1 0.0000 0.0000 0.9997
Ir1 0.0000 0.0000 0.3753
Al2 0.3333 0.6667 0.4997
Ir2 0.3333 0.6667 0.8753

Record 2
An optimized crystal structure of Al2Ir, computed with PBE.

- total magnetization (μB/f.u.) = 0.0
- VASP energy (eV for the cell shown) = -33.12

Cell lengths 4.9538, 4.9538, 4.9538 Å; angles 60.00, 60.00, 60.00 degrees
Atoms (fractional coordinates):
Al1 0.6250 0.1250 0.6250
Ir1 0.2500 0.2500 0.2500
Al2 0.6250 0.6250 0.1250
Al3 0.1250 0.6250 0.6250
Al4 0.6250 0.6250 0.6250
Ir2 0.0000 0.0000 0.0000

Record 3
An optimized crystal structure of Al2Ir3, computed with PBE.

- total magnetization (μB/f.u.) = 0.5
- VASP energy (eV for the cell shown) = -69.17

Cell lengths 6.4874, 6.4874, 5.6343 Å; angles 125.15, 54.85, 120.00 degrees
Site moments in Bohr magnetons follow the coordinates.
Atoms (fractional coordinates):
Al1 0.1027 0.8973 0.6918  0.00
Al2 0.3973 0.6027 0.8082  0.00
Al3 0.8973 0.1027 0.3082  0.00
Ir1 0.9851 0.4851 0.2500  0.16
Ir2 0.0149 0.5149 0.7500  0.16
Ir3 0.2500 0.0149 0.2500  0.16
Ir4 0.4851 0.2500 0.7500  0.16
Al4 0.6027 0.3973 0.1918  0.00
Ir5 0.7500 0.9851 0.7500  0.16
Ir6 0.5149 0.7500 0.2500  0.16

Record 4
An optimized crystal structure of AlIr, computed with PBE.

- total magnetization (μB/f.u.) = 0.0
- VASP energy (eV for the cell shown) = -12.73

Cell lengths 3.5745, 3.5745, 3.5745 Å; angles 60.00, 60.00, 60.00 degrees
Atoms (fractional coordinates):
Al1 0.0000 0.0000 0.0000
Ir1 0.5000 0.5000 0.5000

Record 5
An optimized crystal structure of AlIr, computed with PBE.

- total magnetization (μB/f.u.) = 0.0
- VASP energy (eV for the cell shown) = -14.49

Cell lengths 3.0197, 3.0197, 3.0197 Å; angles 90.00, 90.00, 90.00 degrees
Atoms (fractional coordinates):
Ir1 0.0000 0.0000 0.0000
Al1 0.5000 0.5000 0.5000

Record 6
An optimized crystal structure of Al2Ir, computed with PBE.

- total magnetization (μB/f.u.) = 0.0
- VASP energy (eV for the cell shown) = -29.71

Cell lengths 7.6143, 7.6143, 7.6143 Å; angles 60.00, 60.00, 60.00 degrees
Atoms (fractional coordinates):
Al1 0.3750 0.3750 0.8750
Ir1 0.2500 0.2500 0.2500
Al2 0.3750 0.8750 0.3750
Al3 0.8750 0.3750 0.3750
Ir2 0.5000 0.5000 0.5000
Al4 0.3750 0.3750 0.3750

Record 7
An optimized crystal structure of AlIr, computed with PBE.

- total magnetization (μB/f.u.) = 0.0
- VASP energy (eV for the cell shown) = -11.83

Cell lengths 3.9325, 3.9325, 3.9325 Å; angles 60.00, 60.00, 60.00 degrees
Atoms (fractional coordinates):
Ir1 0.2500 0.2500 0.2500
Al1 0.0000 0.0000 0.0000

Record 8
An optimized crystal structure of Al2Ir, computed with PBE.

- total magnetization (μB/f.u.) = 0.0
- VASP energy (eV for the cell shown) = -35.27

Cell lengths 6.2914, 6.2914, 2.9331 Å; angles 90.00, 90.00, 90.00 degrees
Atoms (fractional coordinates):
Ir1 0.5000 0.5000 0.5000
Al1 0.7244 0.7244 0.0000
Al2 0.2756 0.2756 0.0000
Al3 0.2244 0.7756 0.5000
Ir2 0.0000 0.0000 0.0000
Al4 0.7756 0.2244 0.5000